1.
# MoIrBr

A relaxed MoIrBr crystal (GGA-PBE, the Alexandria database).

```
3
Lattice="6.8554 0.1170 0.0000 5.5000 4.0940 0.0000 -6.1777 -2.1055 2.1008" Properties=species:S:1:pos:R:3 pbc="T T T"
Ir 3.6276 1.2364 0.0000
Br 0.4209 0.1435 0.0000
Mo 8.3069 2.8312 0.0000
```

Calculated values
For the uncorrected formation energy, the calculation gives 0.336 eV/atom. The energy is -6.7858 eV per atom. The magnetic moment comes out at 0.00 μB/cell. Its distance to the lowest polymorph of the same formula is 0 meV per atom.

2.
# TiHgBC2

A relaxed TiHgBC2 crystal (GGA-PBE, the Alexandria database).

```
5
Lattice="-1.6031 2.0663 -2.6238 -3.7064 0.0094 2.2719 1.0855 3.0747 1.7582" Properties=species:S:1:pos:R:3 pbc="T T T"
C 0.5427 1.5374 0.8791
Ti -1.8532 0.0047 1.1360
B 0.0000 0.0000 0.0000
Hg -2.1120 2.5752 0.7032
C -0.8015 1.0331 -1.3119
```

Calculated values
The energy is -4.9625 eV per atom. The magnetic moment comes out at 0.00 μB/cell. The calculation puts the energy relative to the elements at 1.702 eV per atom.

3.
# TeOsRu2C

A relaxed TeOsRu2C crystal (GGA-PBE, the Alexandria database).

```
5
Lattice="-2.4150 2.1514 3.6134 -3.2295 0.4237 -2.4106 -1.6576 -4.3165 1.4621" Properties=species:S:1:pos:R:3 pbc="T T T"
Ru -0.8288 -2.1582 0.7310
Os -3.6511 -0.8707 1.3324
C -1.6147 0.2118 -1.2053
Ru -1.2075 1.0757 1.8067
Te 0.0000 0.0000 0.0000
```

Calculated values
For the uncorrected formation energy, the calculation gives 2.697 eV/atom. The energy is -5.7322 eV per atom. The magnetic moment comes out at 4.28 μB/cell.

4.
# Nd14TmPb

A relaxed Nd14TmPb crystal (GGA-PBE, the Alexandria database).

```
16
Lattice="-4.0960 -3.9876 -4.4757 4.9450 0.8139 -5.2530 4.8175 -8.5516 3.2101" Properties=species:S:1:pos:R:3 pbc="T T T"
Tm -2.9655 -3.3872 -4.5729
Nd 2.9456 -3.8708 -6.5978
Nd 4.9811 -6.6542 -0.1152
Nd -0.4932 -2.9802 -7.1988
Pb 1.5544 -0.9868 -4.9615
Nd 1.4909 -5.6693 -0.7297
Nd 2.5228 -2.2905 -1.7532
Nd -0.9177 -1.3937 -2.3356
Nd 5.4039 -8.2346 -4.9597
Nd -0.5577 -7.6635 -2.9678
Nd 4.9844 -1.8848 -4.3692
Nd 7.4434 -6.2498 -2.7307
Nd 2.9416 -8.6388 -2.3442
Nd 1.9155 -7.2563 -5.5946
Nd 0.4842 -4.2766 -3.9817
Nd 3.9637 -5.2623 -3.3565
```

Calculated values
The energy is -4.7376 eV per atom. The magnetic moment comes out at 0.00 μB/cell. The calculation puts the energy relative to the elements at -0.055 eV per atom.

5.
# Th2CuAs3Ir4

A relaxed Th2CuAs3Ir4 crystal (GGA-PBE, the Alexandria database).

```
10
Lattice="4.1728 0.0000 0.0000 0.0000 4.1728 0.0000 0.0000 0.0000 10.5070" Properties=species:S:1:pos:R:3 pbc="T T T"
Ir 2.0864 0.0000 6.6683
As 0.0000 0.0000 5.2535
Th 0.0000 2.0864 7.8331
Cu 2.0864 2.0864 5.2535
Ir 0.0000 0.0000 0.0000
As 0.0000 2.0864 1.4397
Ir 2.0864 2.0864 0.0000
As 2.0864 0.0000 9.0673
Th 2.0864 0.0000 2.6739
Ir 0.0000 2.0864 3.8387
```

Calculated values
The energy is -7.5431 eV per atom. The magnetic moment comes out at 0.00 μB/cell. The calculation puts the energy relative to the elements at -0.710 eV per atom.

6.
# Ce4Au2N

A relaxed Ce4Au2N crystal (GGA-PBE, the Alexandria database).

```
7
Lattice="4.8591 0.0000 0.0000 0.0000 4.8591 0.0000 -2.4295 -2.4295 7.4294" Properties=species:S:1:pos:R:3 pbc="T T T"
Ce 0.0000 0.0000 2.5307
N 0.0000 0.0000 0.0000
Ce 0.0000 2.4295 0.0000
Ce 2.4295 2.4295 4.8987
Au 0.0000 0.0000 5.4204
Ce 2.4295 0.0000 0.0000
Au 2.4295 2.4295 2.0090
```

Calculated values
For the uncorrected formation energy, the calculation gives -0.709 eV/atom. The energy is -6.2257 eV per atom. The magnetic moment comes out at 3.40 μB/cell. Its distance to the lowest polymorph of the same formula is 0 meV per atom.

7.
# SiS3N

A relaxed SiS3N crystal (GGA-PBE, the Alexandria database).

```
5
Lattice="-0.5427 3.1578 3.1726 -3.4976 1.6953 -2.2856 -2.7935 -2.7361 2.2454" Properties=species:S:1:pos:R:3 pbc="T T T"
Si 0.0000 0.0000 0.0000
S -1.7488 0.8476 -1.1428
N -3.4169 1.0585 1.5662
S -0.2713 1.5789 1.5863
S -1.3967 -1.3680 1.1227
```

Calculated values
For the uncorrected formation energy, the calculation gives 1.400 eV/atom. The energy is -3.8260 eV per atom. The magnetic moment comes out at 2.40 μB/cell. Its distance to the lowest polymorph of the same formula is 236 meV per atom.

8.
# CuGe4F2

A relaxed CuGe4F2 crystal (GGA-PBE, the Alexandria database).

```
7
Lattice="-2.3281 -2.0094 3.3207 2.4355 -3.7714 -0.5747 4.2981 -0.7960 5.6160" Properties=species:S:1:pos:R:3 pbc="T T T"
Ge 1.2177 -1.8857 -0.2873
Ge 2.2749 -1.7944 3.5935
Ge -1.1640 -1.0047 1.6604
F 0.8830 -2.4812 2.2020
Cu 0.0000 0.0000 0.0000
Ge 2.1306 -4.7825 4.7685
F 3.5225 -4.0956 6.1600
```

Calculated values
For the uncorrected formation energy, the calculation gives -0.320 eV/atom. The energy is -4.0783 eV per atom. The magnetic moment comes out at 0.00 μB/cell.

9.
# K2LaInGa

A relaxed K2LaInGa crystal (GGA-PBE, the Alexandria database).

```
5
Lattice="-6.0403 -1.4751 -1.8599 1.9334 -0.6195 -5.7878 1.2041 -6.2861 1.0751" Properties=species:S:1:pos:R:3 pbc="T T T"
K 0.6021 -3.1430 0.5375
La 0.9667 -0.3097 -2.8939
Ga -1.4513 -4.1903 -3.2863
K -3.0201 -0.7376 -0.9299
In 0.0000 0.0000 0.0000
```

Calculated values
The energy is -2.0854 eV per atom. The magnetic moment comes out at 0.65 μB/cell. The calculation puts the energy relative to the elements at 0.492 eV per atom.

10.
# Cs2Li2SnBr6

A relaxed Cs2Li2SnBr6 crystal (GGA-PBE, the Alexandria database).

```
11
Lattice="8.0527 0.0000 0.0000 -4.0263 6.9003 0.0418 0.0000 -3.9108 7.6933" Properties=species:S:1:pos:R:3 pbc="T T T"
Sn 4.0263 -1.9554 3.8466
Br 2.0366 -2.4841 6.0524
Br -1.9898 5.4736 1.6827
Li 4.0263 3.1391 5.7000
Cs 4.0263 2.1845 1.4184
Li 0.0000 -0.1495 2.0351
Cs 0.0000 0.8050 6.3167
Br 6.0161 -2.4841 6.0524
Br 4.0263 0.8670 4.8439
Br 0.0000 2.1226 2.8912
Br 1.9898 5.4736 1.6827
```

Calculated values
For the uncorrected formation energy, the calculation gives -1.402 eV/atom. The energy is -3.1811 eV per atom. The magnetic moment comes out at 0.00 μB/cell.

11.
# Cr5Hg3I12

A relaxed Cr5Hg3I12 crystal (GGA-PBE, the Alexandria database).

```
80
Lattice="-6.1860 -4.5547 13.6985 -5.2915 -9.3112 -11.4875 15.6571 -0.9825 0.7416" Properties=species:S:1:pos:R:3 pbc="T T T"
I 7.8807 -5.6862 12.0921
Cr -2.6457 -4.6556 -5.7438
Cr 8.7617 -3.6088 4.2572
I -1.3773 -4.5592 -3.2047
I -1.9964 -11.2610 -1.9610
I 7.4654 -9.2986 2.2137
I 9.1954 -6.2298 4.0154
I 3.6834 -7.4771 -5.9950
Hg -4.6666 -7.0305 6.0588
I 3.3919 -5.7419 11.9432
Hg 0.5162 -12.1773 0.6858
I -2.3996 -4.2489 4.9265
Hg 0.6823 -5.5429 5.9678
I 1.6826 -12.5743 -2.5912
I 0.4963 -7.3713 8.9476
Cr 1.1296 -7.9212 -6.6252
Hg 8.8463 -7.8178 -3.1061
I 8.8412 -10.6083 -5.2204
Cr 0.0000 0.0000 0.0000
I -5.0157 -8.6185 -1.0627
I 0.3514 -9.4034 -4.5482
I 13.7962 -2.7119 2.0110
I -3.2857 -5.5497 0.7389
Cr 2.0898 -7.4242 1.4763
Hg -7.4242 -11.0915 3.4633
I -3.5662 -7.2619 -5.0918
I 2.6407 -8.1947 4.1536
Hg 6.3396 -9.4535 -7.7830
I -9.6165 -12.1365 0.9416
I -0.3500 -8.8775 1.4716
I 3.8283 -5.4450 7.5008
I 7.7459 -7.5865 8.0444
I -0.8709 -3.1280 8.3997
I -4.6615 -4.2401 8.1731
I -3.7010 -9.1622 -9.1395
I -1.5376 -8.5749 5.7741
I 0.8043 -5.1064 2.4963
Hg 3.6635 -2.6710 2.2668
Cr 5.1828 -5.1468 -5.3729
I 6.0367 -2.5881 -0.3057
I -4.5562 -8.7031 2.9852
Hg 3.4974 -9.3054 -3.0152
I -6.4903 -10.2524 6.7314
Cr 3.0501 -6.9272 9.5779
Hg -2.1599 -5.3948 10.7357
Cr -5.7387 -6.9329 1.1055
I -5.1534 -12.6396 0.8931
Cr 8.3991 -5.4396 9.4869
I -1.8571 -12.2602 3.2583
Cr -1.6855 -4.1586 2.3578
Cr 5.8652 -10.6897 0.5949
I 4.5297 -5.9708 1.4810
I 5.5570 -10.2891 6.1573
Cr -4.5820 -11.2396 -1.3046
Cr 3.0230 -10.5417 5.3627
I 7.4947 -6.4750 -6.3509
Hg 11.6039 -3.7568 -0.5106
Cr 6.2549 -5.2444 -0.4197
Cr 1.1567 -4.3067 -2.4101
Hg 5.8923 -7.0752 4.8100
I 2.4971 -2.2741 5.5438
Cr -4.2194 -9.4088 -6.5343
Cr 4.7356 -2.7686 7.2201
I 8.7359 -6.1453 -0.0325
I 6.1761 -3.5873 4.9137
I 5.7173 -6.2735 -2.8215
I 3.3754 -9.7420 0.4563
Cr -2.0752 -9.6039 3.3723
I 0.7878 -9.1065 -8.9906
I 6.5793 -10.5994 -1.9739
I 5.0506 -11.7204 -5.4471
I -3.3150 -8.3733 9.3035
Cr 7.8286 -0.4913 0.3708
I 9.3331 -2.2088 2.0595
I 1.5390 -6.6537 -1.2010
Hg -1.7126 -7.7731 -1.8574
I 1.5943 -2.1950 -0.8397
I 10.6700 -4.5960 -3.7787
Cr -3.0930 -2.2773 6.8493
I 2.5854 -12.6533 3.7924
```

Calculated values
For the uncorrected formation energy, the calculation gives -0.143 eV/atom. The energy is -3.5243 eV per atom. The magnetic moment comes out at 71.96 μB/cell.

12.
# SrTcBr2

A relaxed SrTcBr2 crystal (GGA-PBE, the Alexandria database).

```
4
Lattice="-7.0623 1.6262 3.8265 -7.4986 -3.1604 0.9724 8.1909 -0.2669 0.0324" Properties=species:S:1:pos:R:3 pbc="T T T"
Br -0.4372 -0.0461 0.1441
Br -3.3486 0.2674 3.2190
Tc -3.4932 -2.1182 1.7677
Sr -6.3714 -0.6713 2.0999
```

Calculated values
For the uncorrected formation energy, the calculation gives -0.203 eV/atom. The energy is -4.0512 eV per atom. The magnetic moment comes out at 2.78 μB/cell. Its distance to the lowest polymorph of the same formula is 147 meV per atom.